Record 1
The following is a DFT calculation (PBE) of an optimized crystal structure of TePtO3.

Cell and atoms, written as extended XYZ:
```
5
Lattice="4.044 0.000 0.000 0.000 4.044 0.000 0.000 0.000 4.044" Properties=species:S:1:pos:R:3 pbc="T T T"
Te 0.000 0.000 0.000
Pt 2.022 2.022 2.022
O 0.000 0.000 2.022
O 0.000 2.022 0.000
O 2.022 0.000 0.000
```

Space group: Pm-3m (221)
ρ (g/cm³): 9.31
Crystal system: cubic
DOS at the Fermi energy (states/eV per atom): 1.070
Energy (eV/cell): -23.05

Record 2
The following is a DFT calculation (PBE) of an optimized crystal structure of TlTePtO6.

Cell and atoms, written as extended XYZ:
```
18
Lattice="5.329 0.000 0.000 -2.665 4.615 0.000 0.000 0.000 10.619" Properties=species:S:1:pos:R:3 pbc="T T T"
Tl 0.000 0.000 0.000
Tl 0.000 0.000 5.309
Te 0.000 3.077 2.655
Te 2.665 1.538 7.964
Pt 0.000 3.077 7.964
Pt 2.665 1.538 2.655
O -0.970 1.730 1.550
O -1.651 2.910 3.760
O 0.970 1.730 3.760
O -0.681 4.590 1.550
O 1.984 0.025 6.859
O 1.013 1.706 9.069
O 1.651 2.910 1.550
O 0.681 4.590 3.760
O 3.346 0.025 9.069
O 1.694 2.885 6.859
O 4.316 1.706 6.859
O 3.635 2.885 9.069
```

Space group: P-31c (163)
ρ (g/cm³): 7.92
Crystal system: trigonal
DOS at the Fermi energy (states/eV per atom): 0.373
Energy (eV/cell): -96.17

Record 3
The following is a DFT calculation (PBE) of an optimized crystal structure of YTePt2O.

Cell and atoms, written as extended XYZ:
```
5
Lattice="5.341 0.000 0.000 0.000 5.341 0.000 0.000 0.000 4.034" Properties=species:S:1:pos:R:3 pbc="T T T"
Y 0.000 0.000 0.000
Te 2.671 2.671 2.017
Pt 0.000 2.671 0.000
Pt 2.671 0.000 0.000
O 0.000 0.000 2.017
```

Space group: P4/mmm (123)
ρ (g/cm³): 8.99
Crystal system: tetragonal
DOS at the Fermi energy (states/eV per atom): 0.633
Energy (eV/cell): -27.19

Record 4
The following is a DFT calculation (PBE) of an optimized crystal structure of ThPtO.

Cell and atoms, written as extended XYZ:
```
6
Lattice="1.985 1.146 8.484 -1.985 1.146 8.484 0.000 -2.292 8.484" Properties=species:S:1:pos:R:3 pbc="T T T"
Th 0.000 0.000 2.559
Th 0.000 0.000 22.892
Pt 0.000 0.000 7.796
Pt 0.000 0.000 17.655
O 0.000 0.000 4.917
O 0.000 0.000 20.534
```

Space group: R-3m (166)
ρ (g/cm³): 12.70
Crystal system: trigonal
DOS at the Fermi energy (states/eV per atom): 0.053
Energy (eV/cell): -49.15

Record 5
The following is a DFT calculation (PBE) of an optimized crystal structure of Th4Pt2O.

Cell and atoms, written as extended XYZ:
```
7
Lattice="-2.412 2.412 7.574 2.412 -2.412 7.574 2.412 2.412 -7.574" Properties=species:S:1:pos:R:3 pbc="T T T"
Th 2.412 0.000 0.000
Th 0.000 0.000 2.836
Th 0.000 2.412 0.000
Th 0.000 0.000 12.312
Pt 0.000 0.000 5.551
Pt 0.000 0.000 9.597
O 0.000 0.000 0.000
```

Space group: I4/mmm (139)
ρ (g/cm³): 12.57
Crystal system: tetragonal
DOS at the Fermi energy (states/eV per atom): 1.126
Energy (eV/cell): -55.49

Record 6
The following is a DFT calculation (PBE) of an optimized crystal structure of TiPtO3.

Cell and atoms, written as extended XYZ:
```
5
Lattice="3.944 0.000 0.000 0.000 3.944 0.000 0.000 0.000 3.944" Properties=species:S:1:pos:R:3 pbc="T T T"
Ti 0.000 0.000 0.000
Pt 1.972 1.972 1.972
O 0.000 1.972 1.972
O 1.972 0.000 1.972
O 1.972 1.972 0.000
```

Space group: Pm-3m (221)
ρ (g/cm³): 7.88
Crystal system: cubic
DOS at the Fermi energy (states/eV per atom): 0.943
Energy (eV/cell): -30.48

Record 7
The following is a DFT calculation (PBE) of an optimized crystal structure of TiPtO2.

Cell and atoms, written as extended XYZ:
```
4
Lattice="1.453 0.839 6.351 -1.453 0.839 6.351 0.000 -1.678 6.351" Properties=species:S:1:pos:R:3 pbc="T T T"
Ti 0.000 0.000 0.000
Pt 0.000 0.000 9.527
O 0.000 0.000 7.469
O 0.000 0.000 11.585
```

Space group: R-3m (166)
ρ (g/cm³): 9.83
Crystal system: trigonal
DOS at the Fermi energy (states/eV per atom): 0.905
Energy (eV/cell): -31.24

Record 8
The following is a DFT calculation (PBE) of an optimized crystal structure of Ti4Pt2O.

Cell and atoms, written as extended XYZ:
```
14
Lattice="6.944 0.000 0.000 0.000 9.756 0.000 0.000 0.000 3.093" Properties=species:S:1:pos:R:3 pbc="T T T"
Ti 1.009 1.884 0.000
Ti 1.230 9.120 1.547
Ti 2.242 4.242 1.547
Ti 2.463 6.762 0.000
Ti 4.481 2.994 0.000
Ti 4.702 5.514 1.547
Ti 5.714 0.636 1.547
Ti 5.935 7.873 0.000
Pt 0.343 6.202 1.547
Pt 3.129 1.324 1.547
Pt 3.815 8.432 1.547
Pt 6.601 3.554 1.547
O 0.000 0.000 0.000
O 3.472 4.878 0.000
```

Space group: Pbam (55)
ρ (g/cm³): 9.47
Crystal system: orthorhombic
DOS at the Fermi energy (states/eV per atom): 0.932
Energy (eV/cell): -113.59

Record 9
The following is a DFT calculation (PBE) of an optimized crystal structure of Ti2PtO.

Cell and atoms, written as extended XYZ:
```
8
Lattice="-2.941 2.941 3.424 2.941 -2.941 3.424 2.941 2.941 -3.424" Properties=species:S:1:pos:R:3 pbc="T T T"
Ti 4.411 0.991 -0.856
Ti 0.991 1.470 0.856
Ti -1.470 1.950 2.568
Ti 1.950 1.470 4.280
Pt 2.941 0.000 1.712
Pt 0.000 0.000 3.424
O 0.000 0.000 0.000
O 0.000 2.941 1.712
```

Space group: I-42d (122)
ρ (g/cm³): 8.60
Crystal system: tetragonal
DOS at the Fermi energy (states/eV per atom): 0.972
Energy (eV/cell): -65.46

Record 10
The following is a DFT calculation (PBE) of an optimized crystal structure of TiPtO3.

Cell and atoms, written as extended XYZ:
```
5
Lattice="3.846 0.000 0.000 0.000 3.846 0.000 0.000 0.000 3.846" Properties=species:S:1:pos:R:3 pbc="T T T"
Ti 0.000 0.000 0.000
Pt 1.923 1.923 1.923
O 0.000 0.000 1.923
O 0.000 1.923 0.000
O 1.923 0.000 0.000
```

Space group: Pm-3m (221)
ρ (g/cm³): 8.49
Crystal system: cubic
DOS at the Fermi energy (states/eV per atom): 0.428
Energy (eV/cell): -34.51

Record 11
The following is a DFT calculation (PBE) of an optimized crystal structure of Ti6PtO.

Cell and atoms, written as extended XYZ:
```
8
Lattice="4.671 0.000 0.000 -0.071 5.252 0.000 -2.080 -0.745 4.898" Properties=species:S:1:pos:R:3 pbc="T T T"
Ti -0.042 1.431 0.750
Ti -0.005 4.055 2.186
Ti 0.348 1.514 3.656
Ti 2.171 2.993 1.242
Ti 2.524 0.452 2.712
Ti 2.561 3.075 4.148
Pt 2.335 0.000 0.000
O -1.076 2.253 2.449
```

Space group: P-1 (2)
ρ (g/cm³): 6.89
Crystal system: triclinic
DOS at the Fermi energy (states/eV per atom): 1.025
Energy (eV/cell): -65.85

Record 12
The following is a DFT calculation (PBE) of an optimized crystal structure of TiPtO2.

Cell and atoms, written as extended XYZ:
```
4
Lattice="0.000 2.792 2.792 2.792 0.000 2.792 2.792 2.792 0.000" Properties=species:S:1:pos:R:3 pbc="T T T"
Ti 0.000 0.000 0.000
Pt 2.792 2.792 2.792
O 1.396 1.396 1.396
O 4.189 4.189 4.189
```

Space group: Fm-3m (225)
ρ (g/cm³): 10.48
Crystal system: cubic
DOS at the Fermi energy (states/eV per atom): 1.042
Energy (eV/cell): -26.38

Record 13
The following is a DFT calculation (PBE) of an optimized crystal structure of TiPt2O.

Cell and atoms, written as extended XYZ:
```
8
Lattice="-2.858 2.858 4.299 2.858 -2.858 4.299 2.858 2.858 -4.299" Properties=species:S:1:pos:R:3 pbc="T T T"
Ti 0.000 0.000 0.000
Ti 0.000 2.858 2.150
Pt 1.429 -1.183 3.224
Pt 1.674 1.429 1.075
Pt 1.429 4.041 -1.075
Pt 1.183 1.429 5.374
O 2.858 0.000 2.150
O 0.000 0.000 4.299
```

Space group: I-42d (122)
ρ (g/cm³): 10.74
Crystal system: tetragonal
DOS at the Fermi energy (states/eV per atom): 0.000
Energy (eV/cell): -50.69

Record 14
The following is a DFT calculation (PBE) of an optimized crystal structure of Ti2PtO.

Cell and atoms, written as extended XYZ:
```
4
Lattice="1.492 0.861 6.742 -1.492 0.861 6.742 0.000 -1.723 6.742" Properties=species:S:1:pos:R:3 pbc="T T T"
Ti 0.000 0.000 4.581
Ti 0.000 0.000 15.646
Pt 0.000 0.000 0.000
O 0.000 0.000 10.113
```

Space group: R-3m (166)
ρ (g/cm³): 9.80
Crystal system: trigonal
DOS at the Fermi energy (states/eV per atom): 0.648
Energy (eV/cell): -32.97

Record 15
The following is a DFT calculation (PBE) of an optimized crystal structure of TiPtO2.

Cell and atoms, written as extended XYZ:
```
8
Lattice="-2.461 2.461 4.627 2.461 -2.461 4.627 2.461 2.461 -4.627" Properties=species:S:1:pos:R:3 pbc="T T T"
Ti 0.000 0.000 0.000
Ti 0.000 2.461 2.314
Pt 2.461 0.000 2.314
Pt 0.000 0.000 4.627
O 3.692 0.784 -1.157
O 0.784 1.231 1.157
O -1.231 1.677 3.470
O 1.677 1.231 5.784
```

Space group: I-42d (122)
ρ (g/cm³): 8.15
Crystal system: tetragonal
DOS at the Fermi energy (states/eV per atom): 0.625
Energy (eV/cell): -58.89

Record 16
The following is a DFT calculation (PBE) of an optimized crystal structure of Ti4Pt2O.

Cell and atoms, written as extended XYZ:
```
7
Lattice="-2.011 2.011 6.642 2.011 -2.011 6.642 2.011 2.011 -6.642" Properties=species:S:1:pos:R:3 pbc="T T T"
Ti 2.011 0.000 0.000
Ti 0.000 0.000 2.389
Ti 0.000 2.011 0.000
Ti 0.000 0.000 10.896
Pt 0.000 0.000 4.822
Pt 0.000 0.000 8.463
O 0.000 0.000 0.000
```

Space group: I4/mmm (139)
ρ (g/cm³): 9.24
Crystal system: tetragonal
DOS at the Fermi energy (states/eV per atom): 0.492
Energy (eV/cell): -57.48

Record 17
The following is a DFT calculation (PBE) of an optimized crystal structure of Ti5PtO.

Cell and atoms, written as extended XYZ:
```
14
Lattice="4.679 -2.762 0.000 4.679 2.762 0.000 -4.221 0.000 7.953" Properties=species:S:1:pos:R:3 pbc="T T T"
Ti 1.513 2.727 5.964
Ti -0.660 1.061 4.820
Ti -0.668 1.057 7.441
Ti 1.450 -1.061 0.843
Ti 3.694 1.057 4.488
Ti 1.443 -1.057 3.464
Ti 3.687 1.061 7.109
Ti 5.805 -1.057 0.512
Ti 5.797 -1.061 3.133
Ti 3.624 -2.727 1.988
Pt 3.624 0.071 1.988
Pt 1.513 -0.071 5.964
O 0.000 0.000 0.000
O -2.111 0.000 3.976
```

Space group: C2/c (15)
ρ (g/cm³): 7.28
Crystal system: monoclinic
DOS at the Fermi energy (states/eV per atom): 1.036
Energy (eV/cell): -115.23

Record 18
The following is a DFT calculation (PBE) of an optimized crystal structure of TiPt2O6.

Cell and atoms, written as extended XYZ:
```
9
Lattice="6.681 -1.553 0.000 6.681 1.553 0.000 -1.267 0.000 5.971" Properties=species:S:1:pos:R:3 pbc="T T T"
Ti 0.000 0.000 0.000
Pt 3.633 0.000 3.996
Pt 8.462 0.000 1.975
O 1.890 0.000 0.643
O 1.693 0.000 3.312
O 5.568 0.000 4.703
O 6.526 0.000 1.269
O 10.401 0.000 2.660
O 10.204 0.000 5.328
```

Space group: C2/m (12)
ρ (g/cm³): 7.16
Crystal system: monoclinic
Energy (eV/cell): -60.68

Record 19
The following is a DFT calculation (PBE) of an optimized crystal structure of Ti6Pt3O.

Cell and atoms, written as extended XYZ:
```
20
Lattice="5.524 0.000 0.000 0.000 7.234 0.000 -4.980 0.000 7.840" Properties=species:S:1:pos:R:3 pbc="T T T"
Ti -0.865 0.657 1.826
Ti -3.355 2.960 5.746
Ti -1.546 5.335 4.689
Ti 0.943 5.515 0.770
Ti 1.857 1.032 0.243
Ti -0.633 2.585 4.163
Ti 1.178 4.649 3.677
Ti -1.312 6.202 7.597
Ti -0.399 1.718 7.070
Ti 2.091 1.899 3.150
Ti 3.899 4.274 2.094
Ti 1.409 6.576 6.014
Pt -1.960 0.610 5.380
Pt 0.530 3.007 1.460
Pt 0.272 0.000 3.920
Pt 2.762 3.617 0.000
Pt 0.015 4.227 6.379
Pt 2.505 6.623 2.460
O 0.000 0.000 0.000
O -2.490 3.617 3.920
```

Space group: P2_1/c (14)
ρ (g/cm³): 9.42
Crystal system: monoclinic
DOS at the Fermi energy (states/eV per atom): 0.880
Energy (eV/cell): -160.64

Record 20
The following is a DFT calculation (PBE) of an optimized crystal structure of Ti2PtO6.

Cell and atoms, written as extended XYZ:
```
9
Lattice="5.152 -1.542 0.000 5.152 1.542 0.000 -3.779 0.000 7.695" Properties=species:S:1:pos:R:3 pbc="T T T"
Ti 0.340 0.000 2.614
Ti 6.184 0.000 5.081
Pt 5.152 -0.147 0.000
O 1.113 -0.156 0.749
O -0.167 -0.139 4.449
O 2.085 -0.103 5.762
O 4.440 -0.103 1.932
O 6.691 -0.139 3.245
O 5.411 -0.156 6.945
```

Space group: C2 (5)
ρ (g/cm³): 5.25
Crystal system: monoclinic
DOS at the Fermi energy (states/eV per atom): 0.000
Energy (eV/cell): -69.85